DFT (PBE with a Hubbard U) results for an optimized crystal structure of Mg6VCO8. Values from VASP.

```
&SYSTEM
  ibrav = 0, nat = 16, ntyp = 4
/
ATOMIC_SPECIES
Mg 24.30 Mg.upf
V 50.94 V.upf
C 12.01 C.upf
O 16.00 O.upf
CELL_PARAMETERS angstrom
4.246 0.000 0.000
0.000 4.246 0.000
0.000 0.000 8.557
ATOMIC_POSITIONS crystal
Mg 0.000 0.000 0.000
Mg 0.000 0.500 0.252
Mg 0.000 0.500 0.748
Mg 0.500 0.000 0.252
Mg 0.500 0.000 0.748
Mg 0.500 0.500 0.000
V 0.000 0.000 0.500
C 0.500 0.500 0.500
O 0.000 0.000 0.248
O 0.000 0.000 0.752
O 0.000 0.500 0.000
O 0.000 0.500 0.500
O 0.500 0.000 0.000
O 0.500 0.000 0.500
O 0.500 0.500 0.248
O 0.500 0.500 0.752
```

Its total magnetic moment is 3.0 μB per formula unit. The value obtained for the density of states at the Fermi level is 2.41 states/eV/f.u.

---

DFT (PBE with a Hubbard U) results for an optimized crystal structure of Mg6VCO8. Values from VASP.

```
&SYSTEM
  ibrav = 0, nat = 16, ntyp = 4
/
ATOMIC_SPECIES
Mg 24.30 Mg.upf
V 50.94 V.upf
C 12.01 C.upf
O 16.00 O.upf
CELL_PARAMETERS angstrom
4.184 0.000 0.000
0.000 4.184 0.000
0.000 0.000 8.939
ATOMIC_POSITIONS crystal
Mg 0.000 0.000 0.000
Mg 0.000 0.000 0.500
Mg 0.000 0.500 0.240
Mg 0.000 0.500 0.760
Mg 0.500 0.000 0.240
Mg 0.500 0.000 0.760
V 0.500 0.500 0.500
C 0.500 0.500 0.000
O 0.000 0.000 0.246
O 0.000 0.000 0.754
O 0.000 0.500 0.000
O 0.000 0.500 0.500
O 0.500 0.000 0.000
O 0.500 0.000 0.500
O 0.500 0.500 0.272
O 0.500 0.500 0.728
```

Its total magnetic moment is 3.0 μB per formula unit. The value obtained for the density of states at the Fermi level is 2.49 states/eV/f.u.

---

Looking at E above lowest polymorph for the records above, in order, we have 0 11 meV per atom.